InHRu2: optimized geometry, GGA-PBE.

Unit cell a=4.3190 b=4.3190 c=4.3190 alpha=60.00 beta=60.00 gamma=60.00
With the nearest neighbours (Å) after each atom.
Atoms (fractional coordinates):
Ru1 0.2500 0.2500 0.2500  4 H 2.64, 4 In 2.64
Ru2 0.7500 0.7500 0.7500  4 In 2.64, 4 H 2.64
H1 0.0000 0.0000 0.0000  8 Ru 2.64
In1 0.5000 0.5000 0.5000  8 Ru 2.64

relative energy among the computed polymorphs: 644.7 meV/atom
M_tot: 1.338 μB per formula unit